# 1
VASP calculation (GGA-PBE) on an optimized crystal structure of Hg2PdPb2.

## Properties
Formation energy from the elements ... -0.113 eV per atom
M_tot ... 0.00 Bohr magnetons per cell
Density ... 11.797 g/cm3
ΔE to the lowest computed polymorph ... 0 meV/atom
SG ... I4/mmm

abc: 11.2615 11.2615 11.2615
angles: 162.45 162.45 24.91
Closest atoms and distances in Å follow each position.
Positions (direct):
Hg 0.1975 0.1975 0.0000  8 Hg 3.35-3.44, 4 Pb 3.56
Hg 0.8025 0.8025 0.0000  8 Hg 3.35-3.44, 4 Pb 3.56
Pd 0.0000 0.0000 0.0000  8 Pb 2.99
Pb 0.4210 0.4210 0.0000  4 Pd 2.99
Pb 0.5790 0.5790 0.0000  4 Pd 2.99

=====

# 2
VASP calculation (GGA-PBE) on an optimized crystal structure of LiH3Br.

## Properties
M_tot ... 0.00 Bohr magnetons per cell
Density ... 2.074 g/cm3
ΔE to the lowest computed polymorph ... 0 meV/atom
SG ... Pm-3m

abc: 4.1595 4.1595 4.1595
angles: 90.00 90.00 90.00
Closest atoms and distances in Å follow each position.
Positions (direct):
Li 0.0000 0.0000 0.0000  12 H 2.94
H 0.0000 0.5000 0.5000  2 Br 2.08
H 0.5000 0.0000 0.5000  2 Br 2.08
H 0.5000 0.5000 0.0000  2 Br 2.08
Br 0.5000 0.5000 0.5000  6 H 2.08

=====

# 3
VASP calculation (GGA-PBE) on an optimized crystal structure of TlOsW2.

## Properties
Formation energy from the elements ... 0.834 eV per atom
M_tot ... 0.00 Bohr magnetons per cell
Density ... 18.174 g/cm3
ΔE to the lowest computed polymorph ... 291 meV/atom
SG ... Imm2

abc: 5.5662 5.5662 5.5662
angles: 148.21 129.31 61.09
Closest atoms and distances in Å follow each position.
Positions (direct):
Tl 0.0000 0.0000 0.0000  6 W 2.83-3.10, 2 Os 2.98, 2 Tl 3.05
Os 0.7331 0.2331 0.5000  6 W 2.63-2.87
W 0.2816 0.7816 0.5000  2 W 2.67, 4 Os 2.87
W 0.5099 0.5099 0.0000  2 Os 2.63, 2 W 2.67, 4 Tl 2.83

=====

# 4
VASP calculation (GGA-PBE) on an optimized crystal structure of Ac2Tc2N5.

## Properties
Formation energy (no corrections) ... -583 kJ/mol of formula units
M_tot ... 0.00 Bohr magnetons per cell
Density ... 9.413 g/cm3
ΔE to the lowest computed polymorph ... 0 meV/atom
SG ... P4/mmm

abc: 4.0185 4.0185 7.8661
angles: 90.00 90.00 90.00
Closest atoms and distances in Å follow each position.
Positions (direct):
Ac 0.0000 0.0000 0.0000  12 N 2.84-2.92
Ac 0.0000 0.0000 0.5000  8 N 2.70
Tc 0.5000 0.5000 0.2468  5 N 1.94-2.02
Tc 0.5000 0.5000 0.7532  5 N 1.94-2.02
N 0.0000 0.5000 0.2700  2 Tc 2.02
N 0.0000 0.5000 0.7300  2 Tc 2.02
N 0.5000 0.0000 0.2700  2 Tc 2.02
N 0.5000 0.0000 0.7300  2 Tc 2.02
N 0.5000 0.5000 0.0000  2 Tc 1.94

=====

# 5
VASP calculation (GGA-PBE) on an optimized crystal structure of YCrAg2Ru.

## Properties
Formation energy from the elements ... 1.962 eV per atom
M_tot ... 5.84 Bohr magnetons per cell
Density ... 5.913 g/cm3
SG ... P4/mmm

abc: 5.1365 5.1365 4.8719
angles: 90.00 90.00 90.00
Closest atoms and distances in Å follow each position.
Positions (direct):
Y 0.0000 0.0000 0.0000  2 Cr 2.44, 4 Ag 2.57
Cr 0.0000 0.0000 0.5000  2 Y 2.44
Ag 0.0000 0.5000 0.0000  2 Y 2.57
Ag 0.5000 0.0000 0.0000  2 Y 2.57
Ru 0.5000 0.5000 0.5000  8 Ag 3.54, 4 Cr 3.63

=====

# 6
VASP calculation (GGA-PBE) on an optimized crystal structure of CaMgH.

## Properties
M_tot ... 0.00 Bohr magnetons per cell
Density ... 1.699 g/cm3
ΔE to the lowest computed polymorph ... 64 meV/atom
SG ... C2/m

abc: 6.7136 6.7136 5.3975
angles: 91.26 91.26 31.70
Closest atoms and distances in Å follow each position.
Positions (direct):
Ca 0.1636 0.1636 0.2784  3 H 2.23-2.28
Ca 0.8364 0.8364 0.7216  3 H 2.23-2.28
Mg 0.4298 0.4298 0.2463  1 H 1.97
Mg 0.5702 0.5702 0.7537  1 H 1.97
H 0.3183 0.3183 0.4895  1 Mg 1.97
H 0.6817 0.6817 0.5105  1 Mg 1.97

=====

# 7
VASP calculation (GGA-PBE) on an optimized crystal structure of Pm4Pr5Ho4.

## Properties
Formation energy from the elements ... 0.017 eV per atom
M_tot ... 0.00 Bohr magnetons per cell
Density ... 7.294 g/cm3
SG ... I4/m

abc: 9.6365 9.6365 9.6365
angles: 94.06 94.06 149.13
Closest atoms and distances in Å follow each position.
Positions (direct):
Pm 0.0766 0.6162 0.6928  3 Pr 3.62-3.65, 4 Ho 3.62-3.64, 5 Pm 3.64-3.66
Pm 0.3838 0.0766 0.4605  3 Pr 3.62-3.65, 4 Ho 3.62-3.64, 5 Pm 3.64-3.66
Pm 0.6162 0.9234 0.5395  3 Pr 3.62-3.65, 4 Ho 3.62-3.64, 5 Pm 3.64-3.66
Pm 0.9234 0.3838 0.3072  3 Pr 3.62-3.65, 4 Ho 3.62-3.64, 5 Pm 3.64-3.66
Pr 0.0000 0.0000 0.0000  8 Pr 3.65, 4 Ho 3.67
Pr 0.3068 0.4598 0.7666  5 Ho 3.59-3.66, 3 Pm 3.62-3.65, 4 Pr 3.65-3.67
Pr 0.4598 0.6932 0.1530  5 Ho 3.59-3.66, 3 Pm 3.62-3.65, 4 Pr 3.65-3.67
Pr 0.5402 0.3068 0.8470  5 Ho 3.59-3.66, 3 Pm 3.62-3.65, 4 Pr 3.65-3.67
Pr 0.6932 0.5402 0.2334  5 Ho 3.59-3.66, 3 Pm 3.62-3.65, 4 Pr 3.65-3.67
Ho 0.1549 0.2325 0.3874  6 Pr 3.59-3.67, 2 Ho 3.61, 4 Pm 3.62-3.64
Ho 0.2325 0.8451 0.0777  6 Pr 3.59-3.67, 2 Ho 3.61, 4 Pm 3.62-3.64
Ho 0.7675 0.1549 0.9223  6 Pr 3.59-3.67, 2 Ho 3.61, 4 Pm 3.62-3.64
Ho 0.8451 0.7675 0.6126  6 Pr 3.59-3.67, 2 Ho 3.61, 4 Pm 3.62-3.64

=====

# 8
VASP calculation (GGA-PBE) on an optimized crystal structure of Tl5Au3.

## Properties
Formation energy from the elements ... -0.002 eV per atom
M_tot ... 0.00 Bohr magnetons per cell
Density ... 12.581 g/cm3
ΔE to the lowest computed polymorph ... 16 meV/atom
SG ... P6_3/mcm

abc: 8.6467 8.6467 6.5754
angles: 90.00 90.00 120.00
Closest atoms and distances in Å follow each position.
Positions (direct):
Tl 0.0000 0.2461 0.2500  3 Au 3.01-3.07
Tl 0.0000 0.7539 0.7500  3 Au 3.01-3.07
Tl 0.2461 0.0000 0.2500  3 Au 3.01-3.07
Tl 0.2461 0.2461 0.7500  3 Au 3.01-3.07
Tl 0.3333 0.6667 0.0000  6 Au 3.12, 2 Tl 3.29
Tl 0.3333 0.6667 0.5000  6 Au 3.12, 2 Tl 3.29
Tl 0.6667 0.3333 0.0000  6 Au 3.12, 2 Tl 3.29
Tl 0.6667 0.3333 0.5000  6 Au 3.12, 2 Tl 3.29
Tl 0.7539 0.0000 0.7500  3 Au 3.01-3.07
Tl 0.7539 0.7539 0.2500  3 Au 3.01-3.07
Au 0.0000 0.3984 0.7500  7 Tl 3.01-3.12
Au 0.0000 0.6016 0.2500  7 Tl 3.01-3.12
Au 0.3984 0.0000 0.7500  7 Tl 3.01-3.12
Au 0.3984 0.3984 0.2500  7 Tl 3.01-3.12
Au 0.6016 0.0000 0.2500  7 Tl 3.01-3.12
Au 0.6016 0.6016 0.7500  7 Tl 3.01-3.12

=====

# 9
VASP calculation (GGA-PBE) on an optimized crystal structure of Dy5HoEr.

## Properties
Formation energy from the elements ... 0.194 eV per atom
M_tot ... 0.00 Bohr magnetons per cell
Density ... 8.620 g/cm3
ΔE to the lowest computed polymorph ... 0 meV/atom
SG ... C2/c

abc: 6.7021 6.7021 12.1545
angles: 107.89 107.89 59.75
Closest atoms and distances in Å follow each position.
Positions (direct):
Dy 0.0829 0.3545 0.7441  2 Dy 2.96-3.26, 1 Er 3.21
Dy 0.0833 0.9166 0.7500  2 Dy 2.96, 1 Ho 2.97
Dy 0.1573 0.6829 0.9983  3 Dy 3.26-3.61, 1 Ho 3.26
Dy 0.3171 0.8427 0.5017  3 Dy 3.26-3.61, 1 Ho 3.26
Dy 0.3545 0.0829 0.2441  2 Dy 2.96-3.26, 1 Er 3.21
Dy 0.6455 0.9171 0.7559  2 Dy 2.96-3.26, 1 Er 3.21
Dy 0.6829 0.1573 0.4983  3 Dy 3.26-3.61, 1 Ho 3.26
Dy 0.8427 0.3171 0.0017  3 Dy 3.26-3.61, 1 Ho 3.26
Dy 0.9166 0.0833 0.2500  2 Dy 2.96, 1 Ho 2.97
Dy 0.9171 0.6455 0.2559  2 Dy 2.96-3.26, 1 Er 3.21
Ho 0.4714 0.5286 0.2500  3 Dy 2.97-3.26
Ho 0.5286 0.4714 0.7500  3 Dy 2.97-3.26
Er 0.0000 0.5000 0.5000  4 Dy 3.21-3.56
Er 0.5000 0.0000 0.0000  4 Dy 3.21-3.56

=====

# 10
VASP calculation (GGA-PBE) on an optimized crystal structure of PdCF3.

## Properties
Formation energy (no corrections) ... 155 kJ/mol of formula units
M_tot ... 1.00 Bohr magnetons per cell
Density ... 5.049 g/cm3
ΔE to the lowest computed polymorph ... 0 meV/atom
SG ... Pm-3m

abc: 3.8640 3.8640 3.8640
angles: 90.00 90.00 90.00
Closest atoms and distances in Å follow each position.
Positions (direct):
Pd 0.0000 0.0000 0.0000  12 F 2.73
C 0.5000 0.5000 0.5000  6 F 1.93
F 0.0000 0.5000 0.5000  2 C 1.93
F 0.5000 0.0000 0.5000  2 C 1.93
F 0.5000 0.5000 0.0000  2 C 1.93

=====

# 11
VASP calculation (GGA-PBE) on an optimized crystal structure of YMg2W.

## Properties
Formation energy from the elements ... 0.347 eV per atom
M_tot ... 0.00 Bohr magnetons per cell
Density ... 6.193 g/cm3
ΔE to the lowest computed polymorph ... 1 meV/atom
SG ... P4mm

abc: 2.9775 2.9775 9.7192
angles: 90.00 90.00 90.00
Closest atoms and distances in Å follow each position.
Positions (direct):
Y 0.0000 0.0000 0.0000  4 Y 2.98, 4 W 3.15
Mg 0.0000 0.0000 0.5382  8 Mg 2.98-3.24, 4 W 3.00
Mg 0.5000 0.5000 0.2853  8 Mg 2.98-3.24
W 0.5000 0.5000 0.7588  4 W 2.98, 4 Mg 3.00, 4 Y 3.15

=====

Question: The lowest density belongs to which entry?
Answer: CaMgH

=====

Question: Which formula does entry 3 have?
Answer: TlOsW2

=====

Question: Which of these has the highest density?
Answer: TlOsW2